PBE LiNbSbO2, optimized geometry; E_form (uncorrected) = 0.088 eV per atom; calculated volume = 13.7 A^3/atom; space-group type = No. 123; DOS(E_F) = 3.2 states/eV/f.u.; total magnetic moment = 0.0 μB per formula unit; raw total energy = -5.12 eV/atom
1.0
3.901 0.000 0.000
0.000 4.514 0.000
0.000 0.000 3.901
Sb Nb O Li
1 1 2 1
direct
0.000 0.500 0.000
0.500 0.500 0.500
0.000 0.000 0.500
0.500 0.000 0.000
0.000 0.000 0.000

PBE Zn4Co, optimized geometry; calculated volume = 13.4 A^3/atom; space-group type = No. 87; DOS(E_F) = 2.1 states/eV/f.u.; total magnetic moment = 0.7 μB per formula unit; raw total energy = -2.47 eV/atom; ΔE_f = -0.0255 eV per atom
1.0
3.582 0.000 0.000
1.791 4.332 0.000
-1.791 0.000 4.332
Co Zn
1 4
direct
0.000 0.000 0.000
0.791 0.811 0.392
0.209 0.189 0.608
0.601 0.608 0.811
0.399 0.392 0.189

PBE TbMg2Sc2, optimized geometry; calculated volume = 26.8 A^3/atom; space-group type = No. 139; DOS(E_F) = 6.7 states/eV/f.u.; total magnetic moment = 0.0 μB per formula unit; raw total energy = -3.86 eV/atom; ΔE_f = 0.2358 eV per atom
1.0
4.149 0.000 0.000
0.000 4.149 0.000
-2.074 -2.074 15.597
Tb Mg Sc
2 4 4
direct
0.619 0.619 0.238
0.381 0.381 0.762
0.000 0.500 0.000
0.173 0.173 0.347
0.500 0.000 0.000
0.827 0.827 0.653
0.750 0.250 0.500
0.927 0.927 0.853
0.073 0.073 0.147
0.250 0.750 0.500

PBE SrVH, optimized geometry; calculated volume = 18.2 A^3/atom; space-group type = No. 1; DOS(E_F) = 2.6 states/eV/f.u.; total magnetic moment = 0.0 μB per formula unit; raw total energy = -4.60 eV/atom
1.0
-1.545 0.323 3.061
-0.538 -3.359 0.083
7.666 -4.559 4.365
H Sr V
2 2 2
direct
0.447 0.498 0.622
0.448 0.248 0.375
0.451 0.797 0.824
0.948 0.693 0.430
0.950 0.037 0.084
0.450 0.447 0.174

PBE TbNd2Zn2Ge2, optimized geometry; calculated volume = 24.7 A^3/atom; space-group type = No. 166; DOS(E_F) = 5.2 states/eV/f.u.; total magnetic moment = 0.9 μB per formula unit; raw total energy = -4.19 eV/atom; ΔE_f = -0.4819 eV per atom
1.0
4.178 0.000 0.000
2.089 3.618 0.000
2.089 1.206 11.427
Tb Nd Zn Ge
1 2 2 2
direct
0.000 0.000 0.000
0.121 0.121 0.636
0.879 0.879 0.364
0.605 0.605 0.186
0.395 0.395 0.814
0.724 0.724 0.828
0.276 0.276 0.172

PBE LiAgIr3, optimized geometry; calculated volume = 14.7 A^3/atom; space-group type = No. 221; DOS(E_F) = 6.3 states/eV/f.u.; total magnetic moment = 0.0 μB per formula unit; raw total energy = -5.21 eV/atom; ΔE_f = 1.0594 eV per atom
1.0
4.185 0.000 0.000
0.000 4.185 0.000
0.000 0.000 4.185
Ir Ag Li
3 1 1
direct
0.000 0.500 0.000
0.000 0.000 0.500
0.500 0.000 0.000
0.500 0.500 0.500
0.000 0.000 0.000

PBE TaP2O2, optimized geometry; E_form (uncorrected) = 0.097 eV per atom; calculated volume = 12.0 A^3/atom; space-group type = No. 123; DOS(E_F) = 1.3 states/eV/f.u.; total magnetic moment = 0.0 μB per formula unit; raw total energy = -6.42 eV/atom
1.0
-1.598 1.401 2.877
-1.568 -3.146 0.661
3.661 -1.268 2.651
P O Ta
2 2 1
direct
0.000 0.500 0.000
0.500 0.000 0.000
0.000 0.000 0.000
0.000 0.000 0.500
0.500 0.500 0.500

PBE YPaMo4, optimized geometry; calculated volume = 19.8 A^3/atom; space-group type = No. 216; DOS(E_F) = 4.1 states/eV/f.u.; total magnetic moment = 0.0 μB per formula unit; raw total energy = -9.77 eV/atom; ΔE_f = 0.1097 eV per atom
1.0
-4.026 -1.085 3.607
-3.077 -4.537 -0.586
0.539 -4.175 3.560
Y Mo Pa
1 4 1
direct
0.000 0.000 0.000
0.625 0.625 0.126
0.625 0.126 0.625
0.625 0.625 0.625
0.126 0.625 0.625
0.250 0.250 0.250

PBE Tm4Ni13B4, optimized geometry; calculated volume = 13.3 A^3/atom; space-group type = No. 65; DOS(E_F) = 12.1 states/eV/f.u.; total magnetic moment = 0.0 μB per formula unit; raw total energy = -6.10 eV/atom; ΔE_f = -0.3974 eV per atom
1.0
-2.150 -1.254 2.954
7.032 -1.234 4.593
-0.688 7.957 2.878
Tm Ni B
4 13 4
direct
0.000 0.311 0.689
0.000 0.689 0.311
0.000 0.151 0.151
0.000 0.849 0.849
0.500 0.500 0.500
0.500 0.919 0.290
0.500 0.081 0.710
0.500 0.710 0.081
0.500 0.290 0.919
0.000 0.000 0.500
0.000 0.500 0.000
0.500 0.213 0.423
0.500 0.787 0.577
0.500 0.577 0.787
0.500 0.423 0.213
0.000 0.377 0.377
0.000 0.623 0.623
0.500 0.000 0.500
0.500 0.500 0.000
0.500 0.935 0.065
0.500 0.065 0.935

PBE GaSiN, optimized geometry; E_form (uncorrected) = -0.260 eV per atom; calculated volume = 14.0 A^3/atom; space-group type = No. 6; DOS(E_F) = 0.4 states/eV/f.u.; total magnetic moment = 0.0 μB per formula unit; raw total energy = -5.85 eV/atom
1.0
2.862 0.000 0.004
0.000 3.052 0.000
-0.028 0.000 9.632
Ga Si N
2 2 2
direct
0.589 0.500 0.524
0.576 0.000 0.801
0.079 0.500 0.071
0.580 0.000 0.310
0.578 0.500 0.976
0.080 0.000 0.180

PBE Ba2MoOs, optimized geometry; calculated volume = 25.4 A^3/atom; space-group type = No. 65; DOS(E_F) = 5.8 states/eV/f.u.; total magnetic moment = 0.1 μB per formula unit; raw total energy = -4.97 eV/atom; ΔE_f = 1.5106 eV per atom
1.0
-1.645 -4.835 4.410
-0.193 -1.641 -5.842
2.142 -2.362 0.591
Ba Mo Os
2 1 1
direct
0.000 0.000 0.000
0.500 0.000 0.500
0.000 0.500 0.500
0.500 0.500 0.000

PBE Ca2Pr3PuN6, optimized geometry; E_form (uncorrected) = -1.167 eV per atom; calculated volume = 16.3 A^3/atom; space-group type = No. 12; DOS(E_F) = 7.1 states/eV/f.u.; total magnetic moment = 3.0 μB per formula unit; raw total energy = -8.05 eV/atom
1.0
-0.908 -1.395 5.987
5.248 -1.759 -2.825
1.074 6.079 0.499
Ca Pr Pu N
2 3 1 6
direct
0.334 0.666 0.000
0.666 0.334 0.000
0.167 0.833 0.500
0.833 0.167 0.500
0.500 0.500 0.500
0.000 0.000 0.000
0.923 0.626 0.766
0.780 0.780 0.239
0.077 0.374 0.234
0.626 0.923 0.766
0.220 0.220 0.761
0.374 0.077 0.234

PBE CdAs2HSe, optimized geometry; calculated volume = 19.5 A^3/atom; space-group type = No. 123; DOS(E_F) = 3.1 states/eV/f.u.; total magnetic moment = 0.0 μB per formula unit; raw total energy = -2.98 eV/atom
1.0
3.945 0.000 0.000
0.000 3.945 0.000
0.000 0.000 6.253
H As Se Cd
1 2 1 1
direct
0.000 0.000 0.000
0.000 0.500 0.000
0.500 0.000 0.000
0.000 0.000 0.500
0.500 0.500 0.500

PBE SiPtWI2, optimized geometry; E_form (uncorrected) = 1.332 eV per atom; calculated volume = 27.0 A^3/atom; space-group type = No. 123; DOS(E_F) = 5.0 states/eV/f.u.; total magnetic moment = 0.0 μB per formula unit; raw total energy = -4.17 eV/atom
1.0
5.312 0.000 0.000
0.000 4.776 0.000
0.000 0.000 5.312
I Si W Pt
2 1 1 1
direct
0.000 0.000 0.500
0.500 0.000 0.000
0.000 0.500 0.000
0.000 0.000 0.000
0.500 0.500 0.500

PBE Sm5YHo2, optimized geometry; calculated volume = 33.1 A^3/atom; space-group type = No. 2; DOS(E_F) = 12.1 states/eV/f.u.; total magnetic moment = 0.0 μB per formula unit; raw total energy = -4.76 eV/atom; ΔE_f = 0.1402 eV per atom
1.0
-1.520 6.436 0.978
-7.227 -4.873 -2.432
-0.719 -7.408 8.212
Sm Y Ho
10 2 4
direct
0.121 0.006 0.911
0.879 0.010 0.584
0.351 0.743 0.384
0.386 0.737 0.104
0.593 0.192 0.248
0.407 0.808 0.752
0.649 0.257 0.616
0.614 0.263 0.896
0.879 0.994 0.089
0.121 0.990 0.416
0.817 0.630 0.747
0.183 0.370 0.253
0.798 0.598 0.415
0.798 0.603 0.079
0.202 0.402 0.585
0.202 0.397 0.921

PBE TcOs2, optimized geometry; calculated volume = 14.3 A^3/atom; space-group type = No. 8; DOS(E_F) = 2.0 states/eV/f.u.; total magnetic moment = 0.0 μB per formula unit; raw total energy = -11.01 eV/atom; ΔE_f = -0.0683 eV per atom
1.0
-0.310 1.490 2.292
-4.072 1.154 -2.952
-4.543 -4.122 2.066
Os Tc
4 2
direct
0.999 0.998 0.001
0.389 0.779 0.722
0.667 0.334 0.667
0.333 0.666 0.333
0.055 0.110 0.389
0.723 0.445 0.055

PBE BeSiCl2, optimized geometry; E_form (uncorrected) = 0.021 eV per atom; calculated volume = 18.5 A^3/atom; space-group type = No. 99; DOS(E_F) = 1.0 states/eV/f.u.; total magnetic moment = 0.0 μB per formula unit; raw total energy = -3.19 eV/atom
1.0
-0.826 -0.676 -2.788
2.524 -1.551 -0.372
-3.785 -6.825 2.776
Be Si Cl
1 1 2
direct
0.500 0.500 0.730
0.000 0.000 0.544
0.000 0.000 0.887
0.500 0.500 0.339

PBE LaSm2Dy8, optimized geometry; calculated volume = 33.0 A^3/atom; space-group type = No. 71; DOS(E_F) = 15.8 states/eV/f.u.; total magnetic moment = 0.0 μB per formula unit; raw total energy = -4.54 eV/atom; ΔE_f = 0.1175 eV per atom
1.0
-1.096 -2.833 -4.629
-3.695 -5.801 4.426
-4.579 8.205 -0.626
La Sm Dy
1 2 8
direct
0.500 0.000 0.000
0.199 0.699 0.399
0.801 0.301 0.601
0.640 0.846 0.281
0.360 0.566 0.719
0.162 0.162 0.324
0.000 0.295 0.000
0.838 0.838 0.676
0.640 0.434 0.281
0.360 0.154 0.719
0.000 0.705 0.000

PBE Mg2MoPb, optimized geometry; calculated volume = 21.9 A^3/atom; space-group type = No. 122; DOS(E_F) = 0.0 states/eV/f.u.; total magnetic moment = 0.0 μB per formula unit; raw total energy = -3.76 eV/atom; ΔE_f = 0.6749 eV per atom
1.0
7.871 0.000 0.000
0.000 7.871 0.000
3.935 3.935 2.833
Pb Mo Mg
2 2 4
direct
0.000 0.000 0.000
0.750 0.250 0.500
0.500 0.500 0.000
0.250 0.750 0.500
0.607 0.125 0.250
0.143 0.625 0.250
0.375 0.393 0.750
0.875 0.857 0.750

PBE RbBPb, optimized geometry; calculated volume = 33.5 A^3/atom; space-group type = No. 63; DOS(E_F) = 0.9 states/eV/f.u.; total magnetic moment = 0.0 μB per formula unit; raw total energy = -3.05 eV/atom; ΔE_f = 0.7361 eV per atom
1.0
-9.508 -2.310 -1.954
9.154 -1.696 3.589
-1.306 1.827 4.193
Pb B Rb
2 2 2
direct
0.809 0.191 0.250
0.191 0.809 0.750
0.243 0.757 0.250
0.757 0.243 0.750
0.607 0.393 0.250
0.393 0.607 0.750

PBE TiSiNi2H, optimized geometry; calculated volume = 10.4 A^3/atom; space-group type = No. 123; DOS(E_F) = 4.8 states/eV/f.u.; total magnetic moment = 0.0 μB per formula unit; raw total energy = -6.05 eV/atom
1.0
3.640 0.000 0.000
0.000 3.640 0.000
0.000 0.000 3.925
Ni Si H Ti
2 1 1 1
direct
0.000 0.500 0.000
0.500 0.000 0.000
0.500 0.500 0.500
0.000 0.000 0.000
0.000 0.000 0.500

PBE Sm2PuNpP4, optimized geometry; calculated volume = 23.2 A^3/atom; space-group type = No. 10; DOS(E_F) = 22.5 states/eV/f.u.; total magnetic moment = 1.5 μB per formula unit; raw total energy = -8.56 eV/atom; ΔE_f = -1.2632 eV per atom
1.0
4.030 0.000 0.000
0.000 6.988 0.121
0.000 -2.443 6.549
Sm Pu Np P
2 1 1 4
direct
0.500 0.000 0.500
0.000 0.500 0.500
0.000 0.000 0.000
0.500 0.500 0.000
0.500 0.248 0.237
0.500 0.752 0.763
0.000 0.257 0.762
0.000 0.743 0.238

PBE Tb6AsC2S3, optimized geometry; E_form (uncorrected) = -1.430 eV per atom; calculated volume = 20.8 A^3/atom; space-group type = No. 12; DOS(E_F) = 2.3 states/eV/f.u.; total magnetic moment = 0.0 μB per formula unit; raw total energy = -6.70 eV/atom
1.0
-2.585 1.094 2.620
4.702 -2.640 5.742
3.670 7.534 -2.339
Tb As C S
6 1 2 3
direct
0.329 0.882 0.658
0.676 0.565 0.353
0.671 0.118 0.342
0.016 0.262 0.031
0.984 0.738 0.969
0.324 0.435 0.647
0.500 0.000 0.000
0.830 0.662 0.661
0.170 0.338 0.339
0.500 0.500 0.000
0.837 0.167 0.674
0.163 0.833 0.326

PBE LaHg2Sb, optimized geometry; E_form (uncorrected) = -0.594 eV per atom; calculated volume = 27.7 A^3/atom; space-group type = No. 99; DOS(E_F) = 1.5 states/eV/f.u.; total magnetic moment = 0.0 μB per formula unit; raw total energy = -3.01 eV/atom
1.0
4.613 0.000 0.000
0.000 4.613 0.012
0.000 -0.013 5.199
Sb Hg La
1 2 1
direct
0.500 0.875 0.626
0.000 0.875 0.125
0.500 0.375 0.125
0.000 0.375 0.624

PBE Zr5Mn2Au2, optimized geometry; calculated volume = 19.7 A^3/atom; space-group type = No. 64; DOS(E_F) = 7.5 states/eV/f.u.; total magnetic moment = 0.0 μB per formula unit; raw total energy = -7.75 eV/atom; ΔE_f = -0.2391 eV per atom
1.0
-5.328 1.315 3.982
-3.856 1.179 -5.549
-4.632 -6.711 1.793
Zr Mn Au
10 4 4
direct
0.000 0.000 0.000
0.500 0.500 0.000
0.435 0.189 0.748
0.817 0.811 0.748
0.317 0.689 0.748
0.935 0.311 0.748
0.565 0.811 0.252
0.183 0.189 0.252
0.683 0.311 0.252
0.065 0.689 0.252
0.107 0.392 0.000
0.893 0.608 0.000
0.393 0.892 0.000
0.607 0.108 0.000
0.222 0.000 0.555
0.722 0.500 0.555
0.778 0.000 0.445
0.278 0.500 0.445